First-principles (PBE) data for a relaxed LaTc2W crystal, as listed in the Alexandria database.

## Properties
Magnetization (μB/f.u.): 0.00
Formation enthalpy at 0 K (eV/atom): 0.557
Calculated volume (Å³/f.u.): 75.9

abc: 5.4944 5.4944 5.4944
angles: 146.56 122.67 68.02
Positions (direct):
La 0.2500 0.7500 0.5000
Tc 0.9743 0.9743 0.0000
Tc 0.5257 0.5257 0.0000
W 0.7500 0.2500 0.5000

First-principles (PBE) data for a relaxed LaTcW2 crystal, as listed in the Alexandria database.

## Properties
Magnetization (μB/f.u.): 0.00
Formation enthalpy at 0 K (eV/atom): 0.578
Excess energy over the best structure of this formula in the dataset (meV/atom): 195
Calculated volume (Å³/f.u.): 82.1

abc: 5.3547 5.3547 5.2647
angles: 74.93 74.93 34.43
Positions (direct):
La 0.7500 0.7500 0.7500
Tc 0.2500 0.2500 0.2500
W 0.9654 0.9654 0.0896
W 0.5346 0.5346 0.4104

First-principles (PBE) data for a relaxed La2Tc2W crystal, as listed in the Alexandria database.

## Properties
Magnetization (μB/f.u.): 0.00
Formation enthalpy at 0 K (eV/atom): 0.266
Calculated volume (Å³/f.u.): 112.7

abc: 6.6257 6.6257 5.1355
angles: 90.00 90.00 90.00
Positions (direct):
Tc 0.3666 0.8666 0.0000
Tc 0.8666 0.6334 0.0000
Tc 0.6334 0.1334 0.0000
Tc 0.1334 0.3666 0.0000
W 0.0000 0.0000 0.0000
W 0.5000 0.5000 0.0000
La 0.1797 0.6797 0.5000
La 0.6797 0.8203 0.5000
La 0.8203 0.3203 0.5000
La 0.3203 0.1797 0.5000

First-principles (PBE) data for a relaxed La2TcW crystal, as listed in the Alexandria database.

## Properties
Magnetization (μB/f.u.): 1.46
Formation enthalpy at 0 K (eV/atom): 0.794
Excess energy over the best structure of this formula in the dataset (meV/atom): 623
Calculated volume (Å³/f.u.): 93.3

abc: 5.1046 5.1046 3.5798
angles: 90.00 90.00 90.00
Positions (direct):
La 0.0000 0.0000 0.0000
La 0.5000 0.5000 0.0000
Tc 0.5000 0.0000 0.5000
W 0.0000 0.5000 0.5000

First-principles (PBE) data for a relaxed LaTc2W crystal, as listed in the Alexandria database.

## Properties
Magnetization (μB/f.u.): 0.00
Formation enthalpy at 0 K (eV/atom): 0.366
Calculated volume (Å³/f.u.): 78.1

abc: 4.1470 2.9503 6.4370
angles: 82.42 90.00 90.00
Positions (direct):
La 0.5000 0.7500 0.7500
Tc 0.0000 0.9925 0.0654
Tc 0.0000 0.5075 0.4346
W 0.5000 0.2500 0.2500

First-principles (PBE) data for a relaxed LaTcW2 crystal, as listed in the Alexandria database.

## Properties
Magnetization (μB/f.u.): 0.00
Formation enthalpy at 0 K (eV/atom): 0.597
Excess energy over the best structure of this formula in the dataset (meV/atom): 214
Calculated volume (Å³/f.u.): 80.8

abc: 4.5314 4.5314 6.0717
angles: 81.07 81.07 41.10
Positions (direct):
La 0.5022 0.5022 0.4943
Tc 0.2707 0.2707 0.1882
W 0.9986 0.9986 0.0021
W 0.7285 0.7285 0.8154

First-principles (PBE) data for a relaxed LaTc2W crystal, as listed in the Alexandria database.

## Properties
Magnetization (μB/f.u.): 0.00
Formation enthalpy at 0 K (eV/atom): 0.576
Calculated volume (Å³/f.u.): 72.1

abc: 5.6828 5.3551 2.9044
angles: 77.22 84.60 120.34
Positions (direct):
La 0.5000 0.5000 0.0000
Tc 0.0000 0.0000 0.0000
Tc 0.5000 0.0000 0.5000
W 0.0000 0.5000 0.5000

First-principles (PBE) data for a relaxed LaTcW2 crystal, as listed in the Alexandria database.

## Properties
Magnetization (μB/f.u.): 0.00
Formation enthalpy at 0 K (eV/atom): 0.499
Excess energy over the best structure of this formula in the dataset (meV/atom): 116
Calculated volume (Å³/f.u.): 80.0

abc: 4.2836 2.9284 6.4381
angles: 82.27 90.00 90.00
Positions (direct):
La 0.0000 0.5048 0.5067
Tc 0.5000 0.7173 0.8170
W 0.0000 0.0000 0.9959
W 0.5000 0.2779 0.1804

First-principles (PBE) data for a relaxed LaTc2W crystal, as listed in the Alexandria database.

## Properties
Magnetization (μB/f.u.): 0.00
Formation enthalpy at 0 K (eV/atom): 0.210
Calculated volume (Å³/f.u.): 75.4

abc: 3.1800 3.1800 7.4522
angles: 90.00 90.00 90.00
Positions (direct):
La 0.5000 0.5000 0.7500
Tc 0.0000 0.0000 0.0529
Tc 0.0000 0.0000 0.4471
W 0.5000 0.5000 0.2500

First-principles (PBE) data for a relaxed LaTc4W crystal, as listed in the Alexandria database.

## Properties
Magnetization (μB/f.u.): 0.00
Formation enthalpy at 0 K (eV/atom): 0.412
Calculated volume (Å³/f.u.): 106.3

abc: 5.3169 5.3169 5.3169
angles: 60.00 60.00 60.00
Positions (direct):
La 0.0000 0.0000 0.0000
Tc 0.8731 0.3756 0.3756
Tc 0.3756 0.3756 0.8731
Tc 0.3756 0.8731 0.3756
Tc 0.3756 0.3756 0.3756
W 0.7500 0.7500 0.7500

First-principles (PBE) data for a relaxed La2TcW crystal, as listed in the Alexandria database.

## Properties
Magnetization (μB/f.u.): 2.02
Formation enthalpy at 0 K (eV/atom): 0.795
Excess energy over the best structure of this formula in the dataset (meV/atom): 624
Calculated volume (Å³/f.u.): 93.6

abc: 5.0957 5.0957 5.0957
angles: 60.00 60.00 60.00
Positions (direct):
Tc 0.0000 0.0000 0.0000
W 0.5000 0.5000 0.5000
La 0.2500 0.2500 0.2500
La 0.7500 0.7500 0.7500

First-principles (PBE) data for a relaxed LaTc2W crystal, as listed in the Alexandria database.

## Properties
Magnetization (μB/f.u.): 0.00
Formation enthalpy at 0 K (eV/atom): 0.370
Calculated volume (Å³/f.u.): 72.1

abc: 2.9136 2.9136 9.2412
angles: 90.00 90.00 113.23
Positions (direct):
La 0.5000 0.5000 0.7500
Tc 0.0000 0.0000 0.0291
Tc 0.0000 0.0000 0.4709
W 0.5000 0.5000 0.2500

First-principles (PBE) data for a relaxed La2TcW crystal, as listed in the Alexandria database.

## Properties
Magnetization (μB/f.u.): 0.00
Formation enthalpy at 0 K (eV/atom): 0.316
Excess energy over the best structure of this formula in the dataset (meV/atom): 145
Calculated volume (Å³/f.u.): 100.0

abc: 6.2754 6.2754 6.2754
angles: 147.44 130.64 60.38
Positions (direct):
La 0.9887 0.9887 0.0000
La 0.2697 0.7697 0.5000
Tc 0.5428 0.5428 0.0000
W 0.6988 0.1988 0.5000

First-principles (PBE) data for a relaxed LaTcW2 crystal, as listed in the Alexandria database.

## Properties
Magnetization (μB/f.u.): 0.00
Formation enthalpy at 0 K (eV/atom): 0.852
Excess energy over the best structure of this formula in the dataset (meV/atom): 469
Calculated volume (Å³/f.u.): 76.7

abc: 5.7920 5.7920 5.7920
angles: 140.88 140.88 56.52
Positions (direct):
La 0.2500 0.7500 0.5000
Tc 0.7500 0.2500 0.5000
W 0.0000 0.0000 0.0000
W 0.5000 0.5000 0.0000

First-principles (PBE) data for a relaxed La2TcW crystal, as listed in the Alexandria database.

## Properties
Magnetization (μB/f.u.): 0.00
Formation enthalpy at 0 K (eV/atom): 0.500
Excess energy over the best structure of this formula in the dataset (meV/atom): 329
Calculated volume (Å³/f.u.): 89.8

abc: 3.2591 4.3371 6.3546
angles: 90.00 90.00 90.00
Positions (direct):
La 0.0000 0.0000 0.9661
La 0.5000 0.5000 0.2741
Tc 0.0000 0.0000 0.5663
W 0.5000 0.5000 0.6935

First-principles (PBE) data for a relaxed LaTc2W crystal, as listed in the Alexandria database.

## Properties
Magnetization (μB/f.u.): 0.00
Formation enthalpy at 0 K (eV/atom): 0.722
Calculated volume (Å³/f.u.): 82.7

abc: 7.3211 7.3211 6.0262
angles: 52.59 52.59 90.00
Positions (direct):
Tc 0.6726 0.1250 0.2500
Tc 0.0774 0.6250 0.2500
Tc 0.3750 0.3274 0.7500
Tc 0.8750 0.9226 0.7500
W 0.0000 0.0000 0.0000
W 0.7500 0.2500 0.5000
La 0.5000 0.5000 0.0000
La 0.2500 0.7500 0.5000

First-principles (PBE) data for a relaxed LaTc2W crystal, as listed in the Alexandria database.

## Properties
Magnetization (μB/f.u.): 0.00
Formation enthalpy at 0 K (eV/atom): 0.534
Calculated volume (Å³/f.u.): 72.4

abc: 2.8664 2.8664 9.5703
angles: 90.00 90.00 112.93
Positions (direct):
La 0.5000 0.5000 0.7572
Tc 0.0000 0.0000 0.0314
Tc 0.5000 0.5000 0.2476
W 0.0000 0.0000 0.4638

First-principles (PBE) data for a relaxed La3TcW crystal, as listed in the Alexandria database.

## Properties
Magnetization (μB/f.u.): 0.00
Formation enthalpy at 0 K (eV/atom): 0.970
Excess energy over the best structure of this formula in the dataset (meV/atom): 0
Calculated volume (Å³/f.u.): 151.4

abc: 5.3303 5.3303 5.3303
angles: 90.00 90.00 90.00
Positions (direct):
Tc 0.0000 0.0000 0.0000
W 0.5000 0.5000 0.5000
La 0.0000 0.5000 0.0000
La 0.0000 0.0000 0.5000
La 0.5000 0.0000 0.0000

First-principles (PBE) data for a relaxed LaTc2W crystal, as listed in the Alexandria database.

## Properties
Magnetization (μB/f.u.): 0.00
Formation enthalpy at 0 K (eV/atom): 0.699
Calculated volume (Å³/f.u.): 73.5

abc: 3.2245 5.1171 4.4551
angles: 90.00 90.00 90.00
Positions (direct):
La 0.0000 0.5000 0.5000
Tc 0.0000 0.0000 0.0000
Tc 0.5000 0.5000 0.0000
W 0.5000 0.0000 0.5000

First-principles (PBE) data for a relaxed La2TcW crystal, as listed in the Alexandria database.

## Properties
Magnetization (μB/f.u.): 0.00
Formation enthalpy at 0 K (eV/atom): 0.826
Excess energy over the best structure of this formula in the dataset (meV/atom): 655
Calculated volume (Å³/f.u.): 92.0

abc: 5.6900 5.6900 2.9123
angles: 90.00 90.00 102.57
Positions (direct):
La 0.0000 0.0000 0.0000
La 0.5000 0.5000 0.0000
Tc 0.5000 0.0000 0.5000
W 0.0000 0.5000 0.5000